(1)
This record from the Alexandria database describes PmSm3Co2 after structural relaxation. The functional is PBE.

a b c (Å): 8.651 8.651 12.026
angles (deg): 124.13 124.13 25.25
Sites, in units of the cell vectors:
1 Pm 0.158 0.158 0.250
2 Pm 0.842 0.842 0.750
3 Sm 0.159 0.159 0.751
4 Sm 0.415 0.415 0.057
5 Sm 0.415 0.415 0.555
6 Sm 0.585 0.585 0.445
7 Sm 0.585 0.585 0.943
8 Sm 0.841 0.841 0.249
9 Co 0.234 0.234 0.047
10 Co 0.235 0.235 0.548
11 Co 0.765 0.765 0.452
12 Co 0.766 0.766 0.953

## Properties
Calculated volume ... 314.1 Å³/cell
Crystal system ... monoclinic
Space-group type ... C2/m, No. 12
Energy ... -5.601 eV per atom
ΔE_f ... -1.9 kcal/mol of atoms

***

(2)
This record from the Alexandria database describes Pm12SmCo4 after structural relaxation. The functional is PBE.

a b c (Å): 8.815 8.815 8.815
angles (deg): 109.47 109.47 109.47
Sites, in units of the cell vectors:
1 Pm 0.133 0.820 0.313
2 Pm 0.180 0.313 0.493
3 Pm 0.180 0.687 0.867
4 Pm 0.313 0.133 0.820
5 Pm 0.313 0.493 0.180
6 Pm 0.493 0.180 0.313
7 Pm 0.507 0.820 0.687
8 Pm 0.687 0.507 0.820
9 Pm 0.687 0.867 0.180
10 Pm 0.820 0.313 0.133
11 Pm 0.820 0.687 0.507
12 Pm 0.867 0.180 0.687
13 Sm 0.000 0.000 0.000
14 Co 0.000 0.000 0.500
15 Co 0.000 0.500 0.000
16 Co 0.500 0.000 0.000
17 Co 0.500 0.500 0.500

## Properties
Calculated volume ... 527.3 Å³/cell
Crystal system ... cubic
Space-group type ... Im-3, No. 204
Energy ... -5.241 eV per atom
ΔE_f ... 1.4 kcal/mol of atoms

***

(3)
This record from the Alexandria database describes Pm3Sm4Co2 after structural relaxation. The functional is PBE.

a b c (Å): 8.565 8.565 9.150
angles (deg): 113.16 113.16 25.06
Sites, in units of the cell vectors:
1 Pm 0.000 0.000 0.000
2 Pm 0.072 0.072 0.692
3 Pm 0.928 0.928 0.308
4 Sm 0.228 0.228 0.145
5 Sm 0.362 0.362 0.608
6 Sm 0.638 0.638 0.392
7 Sm 0.772 0.772 0.855
8 Co 0.381 0.381 0.065
9 Co 0.619 0.619 0.935

## Properties
Calculated volume ... 260.2 Å³/cell
Crystal system ... monoclinic
Space-group type ... C2/m, No. 12
Energy ... -5.297 eV per atom
ΔE_f ... -0.8 kcal/mol of atoms

***

(4)
This record from the Alexandria database describes Pm3SmCo2 after structural relaxation. The functional is PBE.

a b c (Å): 8.675 8.675 12.033
angles (deg): 124.03 124.03 25.24
Sites, in units of the cell vectors:
1 Pm 0.084 0.084 0.443
2 Pm 0.084 0.084 0.944
3 Pm 0.341 0.341 0.249
4 Pm 0.659 0.659 0.751
5 Pm 0.916 0.916 0.056
6 Pm 0.916 0.916 0.557
7 Sm 0.340 0.340 0.748
8 Sm 0.660 0.660 0.252
9 Co 0.265 0.265 0.952
10 Co 0.266 0.266 0.453
11 Co 0.734 0.734 0.547
12 Co 0.735 0.735 0.048

## Properties
Calculated volume ... 316.3 Å³/cell
Crystal system ... monoclinic
Space-group type ... C2/m, No. 12
Energy ... -5.606 eV per atom
ΔE_f ... -1.7 kcal/mol of atoms

***

(5)
This record from the Alexandria database describes PmSm12Co6 after structural relaxation. The functional is PBE.

a b c (Å): 8.642 8.642 8.642
angles (deg): 109.47 109.47 109.47
Sites, in units of the cell vectors:
1 Pm 0.000 0.000 0.000
2 Sm 0.116 0.310 0.805
3 Sm 0.195 0.505 0.310
4 Sm 0.195 0.884 0.690
5 Sm 0.310 0.195 0.505
6 Sm 0.310 0.805 0.116
7 Sm 0.495 0.690 0.805
8 Sm 0.505 0.310 0.195
9 Sm 0.690 0.195 0.884
10 Sm 0.690 0.805 0.495
11 Sm 0.805 0.116 0.310
12 Sm 0.805 0.495 0.690
13 Sm 0.884 0.690 0.195
14 Co 0.112 0.500 0.612
15 Co 0.388 0.888 0.500
16 Co 0.500 0.388 0.888
17 Co 0.500 0.612 0.112
18 Co 0.612 0.112 0.500
19 Co 0.888 0.500 0.388

## Properties
Calculated volume ... 496.8 Å³/cell
Crystal system ... cubic
Space-group type ... Im-3, No. 204
Energy ... -5.551 eV per atom
ΔE_f ... -1.8 kcal/mol of atoms

***

(6)
This record from the Alexandria database describes Pm4SmCo2 after structural relaxation. The functional is PBE.

a b c (Å): 6.991 6.686 8.941
angles (deg): 90.00 112.99 90.00
Sites, in units of the cell vectors:
1 Pm 0.024 0.250 0.292
2 Pm 0.283 0.000 0.065
3 Pm 0.283 0.500 0.065
4 Pm 0.332 0.750 0.500
5 Pm 0.668 0.250 0.500
6 Pm 0.717 0.000 0.935
7 Pm 0.717 0.500 0.935
8 Pm 0.976 0.750 0.708
9 Sm 0.232 0.250 0.709
10 Sm 0.768 0.750 0.291
11 Co 0.038 0.750 0.164
12 Co 0.374 0.750 0.835
13 Co 0.626 0.250 0.165
14 Co 0.962 0.250 0.836

## Properties
Calculated volume ... 384.7 Å³/cell
Crystal system ... monoclinic
Space-group type ... P2_1/m, No. 11
Energy ... -5.438 eV per atom
ΔE_f ... -0.4 kcal/mol of atoms

***

(7)
This record from the Alexandria database describes Pm2Sm2Co after structural relaxation. The functional is PBE.

a b c (Å): 7.006 7.006 7.251
angles (deg): 102.16 102.16 114.91
Sites, in units of the cell vectors:
1 Pm 0.185 0.728 0.743
2 Pm 0.272 0.815 0.257
3 Pm 0.728 0.185 0.743
4 Pm 0.815 0.272 0.257
5 Sm 0.245 0.245 0.597
6 Sm 0.275 0.275 0.105
7 Sm 0.725 0.725 0.895
8 Sm 0.755 0.755 0.403
9 Co 0.382 0.618 0.500
10 Co 0.618 0.382 0.500

## Properties
Calculated volume ... 297.0 Å³/cell
Crystal system ... monoclinic
Space-group type ... C2/m, No. 12
Energy ... -5.237 eV per atom
ΔE_f ... -0.6 kcal/mol of atoms

***

(8)
This record from the Alexandria database describes Pm2SmCo after structural relaxation. The functional is PBE.

a b c (Å): 3.492 3.492 9.103
angles (deg): 90.00 90.00 90.00
Sites, in units of the cell vectors:
1 Pm 0.000 0.000 0.183
2 Pm 0.000 0.000 0.817
3 Sm 0.500 0.500 0.500
4 Co 0.500 0.500 0.000

## Properties
Calculated volume ... 111.0 Å³/cell
Crystal system ... tetragonal
Space-group type ... P4/mmm, No. 123
Energy ... -5.293 eV per atom
ΔE_f ... 0.9 kcal/mol of atoms

***

Among the records above, which one has the lowest calculated volume?
Pm2SmCo